Record 1
# ZrNiP2 PBE-GGA relaxed
# - Space-group type: No. 71
# - Magnetization: 0.000 μB per atom
# - Formation energy from the elements: -2.4 eV per formula unit
# - VASP energy: -6.8791 eV/atom
data_ZrNiP2
_chemical_formula_sum 'Zr1 Ni1 P2'
_symmetry_space_group_name_H-M 'P 1'
_symmetry_Int_Tables_number 1
_symmetry_space_group_name_Hall 'P 1'
_cell_length_a 4.470
_cell_length_b 4.470
_cell_length_c 4.470
_cell_angle_alpha 129.65
_cell_angle_beta 110.03
_cell_angle_gamma 91.11
loop_
_atom_site_label
_atom_site_type_symbol
_atom_site_fract_x
_atom_site_fract_y
_atom_site_fract_z
Zr1 Zr 0.000 0.000 0.000
Ni1 Ni 0.500 0.500 0.000
P1 P 0.309 0.809 0.500
P2 P 0.691 0.191 0.500



Record 2
# NdZn2Pd5 PBE-GGA relaxed
# - Space-group type: No. 71
# - Magnetization: 0.000 μB per atom
# - Formation energy from the elements: -4.3 eV per formula unit
# - VASP energy: -4.6929 eV/atom
data_NdZn2Pd5
_chemical_formula_sum 'Nd1 Zn2 Pd5'
_symmetry_space_group_name_H-M 'P 1'
_symmetry_Int_Tables_number 1
_symmetry_space_group_name_Hall 'P 1'
_cell_length_a 6.620
_cell_length_b 6.620
_cell_length_c 6.620
_cell_angle_alpha 145.27
_cell_angle_beta 118.19
_cell_angle_gamma 72.89
loop_
_atom_site_label
_atom_site_type_symbol
_atom_site_fract_x
_atom_site_fract_y
_atom_site_fract_z
Nd1 Nd 0.000 0.000 0.000
Zn1 Zn 0.267 0.767 0.500
Zn2 Zn 0.733 0.233 0.500
Pd1 Pd 0.161 0.367 0.794
Pd2 Pd 0.428 0.633 0.794
Pd3 Pd 0.500 0.000 0.500
Pd4 Pd 0.572 0.367 0.206
Pd5 Pd 0.839 0.633 0.206



Record 3
# CeEr4N4 PBE-GGA relaxed
# - Raw formation energy: -1.475 eV per atom
# - Space-group type: No. 87
# - Magnetization: 0.000 μB per atom
# - Distance to the lowest polymorph of the same formula: 0.0 kJ/mol of formula units
# - VASP energy: -7.8626 eV/atom
data_CeEr4N4
_chemical_formula_sum 'Ce1 Er4 N4'
_symmetry_space_group_name_H-M 'P 1'
_symmetry_Int_Tables_number 1
_symmetry_space_group_name_Hall 'P 1'
_cell_length_a 6.016
_cell_length_b 6.016
_cell_length_c 6.016
_cell_angle_alpha 99.43
_cell_angle_beta 99.43
_cell_angle_gamma 132.25
loop_
_atom_site_label
_atom_site_type_symbol
_atom_site_fract_x
_atom_site_fract_y
_atom_site_fract_z
Ce1 Ce 0.000 0.000 0.000
Er1 Er 0.188 0.607 0.795
Er2 Er 0.393 0.188 0.581
Er3 Er 0.607 0.812 0.419
Er4 Er 0.812 0.393 0.205
N1 N 0.098 0.300 0.398
N2 N 0.300 0.902 0.202
N3 N 0.700 0.098 0.798
N4 N 0.902 0.700 0.602



Record 4
# BeMoBr2 PBE-GGA relaxed
# - Raw formation energy: 1.216 eV per atom
# - Space-group type: No. 216
# - Magnetization: 1.036 μB per atom
# - Distance to the lowest polymorph of the same formula: 458.2 kJ/mol of formula units
# - VASP energy: -3.2602 eV/atom
data_BeMoBr2
_chemical_formula_sum 'Be1 Mo1 Br2'
_symmetry_space_group_name_H-M 'P 1'
_symmetry_Int_Tables_number 1
_symmetry_space_group_name_Hall 'P 1'
_cell_length_a 4.930
_cell_length_b 4.930
_cell_length_c 4.930
_cell_angle_alpha 60.00
_cell_angle_beta 60.00
_cell_angle_gamma 60.00
loop_
_atom_site_label
_atom_site_type_symbol
_atom_site_fract_x
_atom_site_fract_y
_atom_site_fract_z
Be1 Be 0.000 0.000 0.000
Mo1 Mo 0.250 0.250 0.250
Br1 Br 0.500 0.500 0.500
Br2 Br 0.750 0.750 0.750